## FeCuMo2 (PBE-GGA)

Data for an optimized crystal structure of FeCuMo2.

The calculated formation energy comes out at 0.354 eV/atom. The size of the total moment comes out at 7.4 Bohr magnetons per cell. As for the calculated total energy: -98.42 eV per cell.

The structure belongs to space group R3m (No. 160, hexagonal axes); the cell edges are 2.6888, 2.6888 and 27.4122 Å and the angles 90.00°, 90.00° and 120.00°. Symmetry generates all atoms from Fe at (0.0000, 0.0000, 0.0000), Cu at (0.0000, 0.0000, 0.2573), Mo at (0.0000, 0.0000, 0.5071) and Mo at (0.0000, 0.0000, 0.7499).